Below is a geometry-optimized K3MgBi structure, with properties calculated at the PBE level.

abc: 9.0958 9.0958 9.0958
angles: 80.76 122.46 128.60
Closest atoms and distances in Å follow each position.
Fractional positions:
K (0.0331, 0.2731, 0.7413)  1 Mg 3.59, 2 K 3.94
K (0.5317, 0.2918, 0.2587)  1 Mg 3.59, 2 K 3.94
K (0.1261, 0.2802, 0.3459)  2 Bi 3.61-4.04, 2 Mg 3.61-3.62
K (0.9343, 0.7802, 0.6541)  2 Bi 3.61-4.04, 2 Mg 3.61-3.62
K (0.5317, 0.7731, 0.7400)  1 Mg 3.59, 2 K 3.94
K (0.0331, 0.7918, 0.2600)  1 Mg 3.59, 2 K 3.94
Bi (0.5398, 0.2818, 0.7580)  2 Mg 2.89
Bi (0.5238, 0.7818, 0.2420)  2 Mg 2.89
Mg (0.0317, 0.5315, 0.0003)  2 Bi 2.89
Mg (0.5312, 0.0315, 0.9997)  2 Bi 2.89

Energy of formation, eV per atom: -0.052
Distance to the lowest polymorph of the same formula, meV/atom: 0
Total energy, eV for the cell shown: -18.1
Total moment, μB per formula unit: 0.00

=====

Below is a geometry-optimized KMgBi structure, with properties calculated at the PBE level.

abc: 9.8480 4.9381 11.0288
angles: 63.38 116.39 59.93
Closest atoms and distances in Å follow each position.
Fractional positions:
Mg (0.4977, 0.7220, 0.7672)  4 Bi 3.03-3.04
Mg (0.9975, 0.2224, 0.2671)  4 Bi 3.03
Bi (0.2914, 0.4283, 0.7669)  4 Mg 3.03
Bi (0.2037, 0.5160, 0.2673)  4 Mg 3.03-3.04
K (0.6506, 0.0689, 0.2667)  5 Bi 3.70-3.81, 4 Mg 3.85
K (0.8445, 0.8751, 0.7674)  5 Bi 3.70-3.81, 4 Mg 3.85-3.86

Energy of formation, eV per atom: -0.450
Total energy, eV for the cell shown: -15.8
Total moment, μB per formula unit: 0.00

=====

Below is a geometry-optimized KMg6Bi structure, with properties calculated at the PBE level.

abc: 8.6657 8.6657 5.1142
angles: 90.00 90.00 137.67
Closest atoms and distances in Å follow each position.
Fractional positions:
Mg (0.1244, 0.8756, 0.0000)  8 Mg 3.10-3.19
Mg (0.7103, 0.8095, 0.0000)  6 Mg 3.00-3.25, 2 Bi 3.11
Mg (0.8266, 0.6773, 0.5000)  8 Mg 3.10-3.25, 1 Bi 3.12
Mg (0.3227, 0.1734, 0.5000)  8 Mg 3.10-3.25, 1 Bi 3.12
Mg (0.1905, 0.2897, 0.0000)  6 Mg 3.00-3.25, 2 Bi 3.11
Mg (0.6224, 0.3776, 0.0000)  8 Mg 3.10-3.22
Bi (0.4080, 0.5920, 0.5000)  6 Mg 3.11-3.12
K (0.7951, 0.2049, 0.5000)  2 Bi 3.62, 8 Mg 3.79-3.90

Energy of formation, eV per atom: 0.054
Total energy, eV for the cell shown: -14.1
Total moment, μB per formula unit: 0.00

=====

Below is a geometry-optimized K2MgBi structure, with properties calculated at the PBE level.

abc: 4.9682 4.9682 13.0045
angles: 78.99 78.99 90.00
Closest atoms and distances in Å follow each position.
Fractional positions:
K (0.8750, 0.8817, 0.7500)  4 K 3.47-3.56, 2 Bi 3.58, 2 Mg 3.60
K (0.6317, 0.1250, 0.2500)  4 K 3.47-3.56, 2 Bi 3.58, 2 Mg 3.60
K (0.3750, 0.3683, 0.7500)  4 K 3.47-3.56, 2 Bi 3.58, 2 Mg 3.60
K (0.1183, 0.6250, 0.2500)  4 K 3.47-3.56, 2 Bi 3.58, 2 Mg 3.60
Bi (0.7500, 0.2500, 0.5000)  4 Mg 3.51, 4 K 3.58
Bi (0.0000, 0.0000, 0.0000)  4 Mg 3.51, 4 K 3.58
Mg (0.5000, 0.5000, 0.0000)  4 Bi 3.51, 4 K 3.60
Mg (0.2500, 0.7500, 0.5000)  4 Bi 3.51, 4 K 3.60

Energy of formation, eV per atom: 0.095
Distance to the lowest polymorph of the same formula, meV/atom: 148
Total energy, eV for the cell shown: -14.6
Total moment, μB per formula unit: 0.00